Entry 1:
The following is a DFT calculation (GGA-PBE) of crystalline BaLi2CaPd at its relaxed geometry.

DFT total energy: -2.73 eV per atom
Fermi-level density of states: 0.55 states/eV per atom
energy relative to the elements: -139.6 meV/atom
relative energy among the computed polymorphs: 0 meV per atom

Cell and atoms, written as POSCAR:
```
BaLi2CaPd
1.0
-4.9939 1.3138 1.3156
1.2042 -0.5872 5.1576
1.4336 5.1926 0.2565
Li Ca Pd Ba
2 1 1 1
direct
0.0000 0.5000 0.0000
0.5000 0.0000 0.0000
0.0000 0.0000 0.5000
0.0000 0.0000 0.0000
0.5000 0.5000 0.5000
```

=====

Entry 2:
The following is a DFT calculation (GGA-PBE) of crystalline AlTl2AgBr6 at its relaxed geometry.

DFT total energy: -2.97 eV per atom
Fermi-level density of states: 0.00 states/eV per atom
energy relative to the elements, uncorrected: -0.83 eV/atom

Cell and atoms, written as POSCAR:
```
AlTl2AgBr6
1.0
7.0292 0.0000 0.0000
0.0000 7.4500 0.0000
0.0000 -3.7250 6.4519
Br Tl Ag Al
6 2 1 1
direct
0.2112 0.8407 0.6814
0.7888 0.1593 0.3186
0.2112 0.3186 0.1593
0.7888 0.1593 0.8407
0.7888 0.6814 0.8407
0.2112 0.8407 0.1593
0.8581 0.6667 0.3333
0.1419 0.3333 0.6667
0.5000 0.0000 0.0000
0.0000 0.0000 0.0000
```

=====

Entry 3:
The following is a DFT calculation (GGA-PBE) of crystalline RbAgGeIr at its relaxed geometry.

DFT total energy: -4.46 eV per atom
Fermi-level density of states: 0.22 states/eV per atom
energy relative to the elements: -136.5 meV/atom

Cell and atoms, written as POSCAR:
```
RbAgGeIr
1.0
4.0409 0.0000 0.0000
0.0000 4.0409 0.0000
0.0000 0.0000 13.3010
Ir Ag Ge Rb
2 2 2 2
direct
0.7500 0.2500 0.0000
0.2500 0.7500 0.0000
0.7500 0.2500 0.5000
0.2500 0.7500 0.5000
0.7500 0.7500 0.8919
0.2500 0.2500 0.1081
0.7500 0.7500 0.2634
0.2500 0.2500 0.7366
```

=====

> Which value of Fermi-level density of states does entry 2 give?

0.00 states/eV per atom

=====

> Look up the Fermi-level density of states of the third one.

0.22 states/eV per atom

=====

> Which value of DFT total energy does entry 3 give?

-4.46 eV per atom

=====

Please write out number 2 again, unchanged.
The following is a DFT calculation (GGA-PBE) of crystalline AlTl2AgBr6 at its relaxed geometry.

DFT total energy: -2.97 eV per atom
Fermi-level density of states: 0.00 states/eV per atom
energy relative to the elements, uncorrected: -0.83 eV/atom

Cell and atoms, written as POSCAR:
```
AlTl2AgBr6
1.0
7.0292 0.0000 0.0000
0.0000 7.4500 0.0000
0.0000 -3.7250 6.4519
Br Tl Ag Al
6 2 1 1
direct
0.2112 0.8407 0.6814
0.7888 0.1593 0.3186
0.2112 0.3186 0.1593
0.7888 0.1593 0.8407
0.7888 0.6814 0.8407
0.2112 0.8407 0.1593
0.8581 0.6667 0.3333
0.1419 0.3333 0.6667
0.5000 0.0000 0.0000
0.0000 0.0000 0.0000
```